# Tl2OsS

Tl2OsS after structural relaxation (PBE, Alexandria via LeMat-Bulk).

The density comes out at 12.420 g/cm3. The formation energy from raw total energies is 1.133 eV/atom. The energy is -3.889 eV/atom. The size of the total moment comes out at 1.44 μB per formula unit. The offset from the most stable computed form is 63 meV/atom.

It has space group Fm-3m (No. 225), with a = 6.962 Å, b = 6.962 Å, c = 6.962 Å, α = 90.00°, β = 90.00° and γ = 90.00°. The distinct sites, in fractional coordinates, are Tl at (0.250, 0.250, 0.250), Os at (0.000, 0.000, 0.000) and S at (0.000, 0.000, 0.500).